# Mg3Ir (PBE, relaxed)
data_Mg3Ir
_chemical_formula_sum 'Mg12 Ir4'
_space_group_name_H-M_alt 'C m c m'
_space_group_IT_number 63
_space_group_name_Hall '-C 2c 2'
_cell_length_a 3.198
_cell_length_b 11.014
_cell_length_c 8.519
_cell_angle_alpha 90.00
_cell_angle_beta 90.00
_cell_angle_gamma 90.00
loop_
_atom_site_label
_atom_site_type_symbol
_atom_site_fract_x
_atom_site_fract_y
_atom_site_fract_z
Mg1 Mg 0.000 0.046 0.250
Mg2 Mg 0.000 0.358 0.046
Ir1 Ir 0.000 0.255 0.750
# - Magnetic moment: 0.0 μB per formula unit
# - Energy of formation from the pure elements: -247 meV per atom
# - Density of states at the Fermi level: 7.5 states/eV/cell